# YTc4As

Crystalline YTc4As at its relaxed geometry (PBE, Alexandria).

```
YTc4As
1.0
0.000 3.739 3.739
3.739 0.000 3.739
3.739 3.739 0.000
Y Tc As
1 4 1
Cartesian
0.000 0.000 0.000
2.814 2.814 2.814
4.664 4.664 2.814
4.664 2.814 4.664
2.814 4.664 4.664
5.608 5.608 5.608
```

**Crystal system**: cubic
**ΔE_f**: 164 meV/atom